(1)
# Ag2Pb5Cl12

Crystalline Ag2Pb5Cl12 at its relaxed geometry (PBE, the Alexandria database). Values from VASP.

- Energy: -3.42 eV per atom
- Formation energy from raw total energies: -0.98 eV per atom

Quantum ESPRESSO input file:
```
&SYSTEM
  ibrav = 0, nat = 19, ntyp = 3
/
ATOMIC_SPECIES
Ag 107.87 Ag.upf
Pb 207.20 Pb.upf
Cl 35.45 Cl.upf
ATOMIC_POSITIONS crystal
Ag 0.771 0.000 0.000
Ag 0.229 0.000 0.000
Pb 0.311 0.622 0.654
Pb 0.320 0.640 0.158
Pb 0.000 0.000 0.500
Pb 0.680 0.360 0.842
Pb 0.689 0.378 0.346
Cl 0.979 0.959 0.198
Cl 0.088 0.645 0.901
Cl 0.557 0.645 0.901
Cl 0.103 0.700 0.433
Cl 0.597 0.700 0.433
Cl 0.495 0.991 0.788
Cl 0.505 0.009 0.212
Cl 0.897 0.300 0.567
Cl 0.403 0.300 0.567
Cl 0.912 0.355 0.099
Cl 0.443 0.355 0.099
Cl 0.021 0.041 0.802
CELL_PARAMETERS angstrom
7.580 0.000 0.000
-3.790 8.124 0.030
0.000 -2.826 9.079
```

(2)
# Eu3W5N12

Crystalline Eu3W5N12 at its relaxed geometry (PBE, the Alexandria database). Values from VASP.

- Energy: -10.47 eV per atom
- Formation energy from raw total energies: -0.69 eV per atom

Quantum ESPRESSO input file:
```
&SYSTEM
  ibrav = 0, nat = 80, ntyp = 3
/
ATOMIC_SPECIES
Eu 151.96 Eu.upf
W 183.84 W.upf
N 14.01 N.upf
ATOMIC_POSITIONS crystal
Eu 0.750 0.375 0.125
Eu 0.875 0.750 0.125
Eu 0.375 0.750 0.625
Eu 0.250 0.125 0.375
Eu 0.875 0.125 0.250
Eu 0.375 0.625 0.250
Eu 0.625 0.375 0.750
Eu 0.125 0.875 0.750
Eu 0.750 0.875 0.625
Eu 0.625 0.250 0.375
Eu 0.125 0.250 0.875
Eu 0.250 0.625 0.875
W 0.125 0.375 0.250
W 0.000 0.500 0.000
W 0.000 0.000 0.000
W 0.375 0.250 0.125
W 0.500 0.000 0.500
W 0.500 0.500 0.000
W 0.125 0.750 0.375
W 0.750 0.125 0.875
W 0.750 0.625 0.375
W 0.375 0.125 0.750
W 0.625 0.875 0.250
W 0.500 0.500 0.500
W 0.500 0.000 0.000
W 0.000 0.000 0.500
W 0.250 0.375 0.625
W 0.250 0.875 0.125
W 0.000 0.500 0.500
W 0.875 0.250 0.625
W 0.625 0.750 0.875
W 0.875 0.625 0.750
N 0.691 0.112 0.010
N 0.319 0.510 0.398
N 0.990 0.388 0.309
N 0.510 0.191 0.112
N 0.579 0.691 0.681
N 0.990 0.602 0.181
N 0.319 0.809 0.421
N 0.102 0.921 0.112
N 0.602 0.990 0.681
N 0.691 0.579 0.181
N 0.809 0.490 0.388
N 0.819 0.898 0.010
N 0.112 0.691 0.510
N 0.388 0.398 0.079
N 0.079 0.898 0.388
N 0.421 0.112 0.602
N 0.079 0.181 0.191
N 0.490 0.681 0.102
N 0.819 0.921 0.309
N 0.112 0.421 0.102
N 0.388 0.990 0.809
N 0.602 0.612 0.421
N 0.898 0.819 0.510
N 0.809 0.319 0.921
N 0.398 0.388 0.579
N 0.102 0.181 0.490
N 0.191 0.681 0.079
N 0.181 0.079 0.691
N 0.612 0.010 0.191
N 0.888 0.579 0.898
N 0.510 0.319 0.898
N 0.579 0.888 0.398
N 0.921 0.819 0.809
N 0.921 0.102 0.612
N 0.888 0.309 0.490
N 0.181 0.102 0.990
N 0.612 0.602 0.921
N 0.398 0.010 0.319
N 0.309 0.421 0.819
N 0.191 0.510 0.612
N 0.898 0.079 0.888
N 0.681 0.191 0.579
N 0.490 0.809 0.888
N 0.010 0.398 0.819
N 0.421 0.309 0.319
N 0.010 0.612 0.691
N 0.681 0.490 0.602
N 0.309 0.888 0.990
CELL_PARAMETERS angstrom
11.291 0.000 0.000
-3.764 10.645 0.000
-3.764 -5.323 9.219
```

(3)
# Mn3VCr2

Crystalline Mn3VCr2 at its relaxed geometry (PBE, the Alexandria database). Values from VASP.

- Energy: -9.35 eV per atom
- Formation enthalpy at 0 K: -0.251 eV per formula unit

Quantum ESPRESSO input file:
```
&SYSTEM
  ibrav = 0, nat = 6, ntyp = 3
/
ATOMIC_SPECIES
Mn 54.94 Mn.upf
V 50.94 V.upf
Cr 52.00 Cr.upf
ATOMIC_POSITIONS crystal
Mn 0.000 0.000 0.000
Mn 0.000 0.000 0.670
Mn 0.000 0.000 0.330
V 0.500 0.500 0.500
Cr 0.500 0.500 0.835
Cr 0.500 0.500 0.165
CELL_PARAMETERS angstrom
-2.705 -0.846 -0.007
0.532 -1.684 -2.217
1.975 -6.363 5.306
```